# CdAgSb2 (SCAN, single point on PBEsol structure)
# Formation energy (no corrections), meV per atom: 186.5
# Space group: P4/mmm (123)
data_CdAgSb2
_chemical_formula_sum 'Cd1 Ag1 Sb2'
_symmetry_space_group_name_H-M 'P 1'
_symmetry_Int_Tables_number 1
_symmetry_space_group_name_Hall 'P 1'
_cell_length_a 3.211
_cell_length_b 3.211
_cell_length_c 8.987
_cell_angle_alpha 90.00
_cell_angle_beta 90.00
_cell_angle_gamma 90.00
loop_
_atom_site_label
_atom_site_type_symbol
_atom_site_fract_x
_atom_site_fract_y
_atom_site_fract_z
_atom_site_occupancy
Sb1 Sb 0.000 0.000 0.771 1
Ag1 Ag 0.500 0.500 0.000 1
Cd1 Cd 0.500 0.500 0.500 1
Sb2 Sb 0.000 0.000 0.229 1

---

# ScBeCd2 (SCAN, single point on PBEsol structure)
# Calculated formation energy, eV per formula unit: -0.208
# Space group: Fm-3m (225)
data_ScBeCd2
_chemical_formula_sum 'Sc1 Be1 Cd2'
_symmetry_space_group_name_H-M 'P 1'
_symmetry_Int_Tables_number 1
_symmetry_space_group_name_Hall 'P 1'
_cell_length_a 4.618
_cell_length_b 4.618
_cell_length_c 4.618
_cell_angle_alpha 60.00
_cell_angle_beta 60.00
_cell_angle_gamma 60.00
loop_
_atom_site_label
_atom_site_type_symbol
_atom_site_fract_x
_atom_site_fract_y
_atom_site_fract_z
_atom_site_occupancy
Sc1 Sc 0.500 0.500 0.500 1
Cd1 Cd 0.250 0.250 0.250 1
Be1 Be 0.000 0.000 0.000 1
Cd2 Cd 0.750 0.750 0.750 1

---

Q: What is the formula in the second record?
A: ScBeCd2